Model one:
A plane-wave DFT calculation with GGA-PBE was carried out for an optimized crystal structure of SiNi6Sb.

CIF file:
```
data_SiNi6Sb
_symmetry_space_group_name_H-M 'P 4/m m m'
_symmetry_Int_Tables_number 123
_symmetry_space_group_name_Hall '-P 4 2'
_cell_length_a 3.6358
_cell_length_b 3.6358
_cell_length_c 7.1873
_cell_angle_alpha 90.00
_cell_angle_beta 90.00
_cell_angle_gamma 90.00
loop_
_atom_site_label
_atom_site_fract_x
_atom_site_fract_y
_atom_site_fract_z
Si1 0.0000 0.0000 0.0000
Ni1 0.0000 0.5000 0.2312
Ni2 0.5000 0.5000 0.0000
Ni3 0.5000 0.5000 0.5000
Sb1 0.0000 0.0000 0.5000
```

* crystal system: tetragonal

Model two:
A plane-wave DFT calculation with GGA-PBE was carried out for an optimized crystal structure of SiNi6Sb.

CIF file:
```
data_SiNi6Sb
_symmetry_space_group_name_H-M 'C m m m'
_symmetry_Int_Tables_number 65
_symmetry_space_group_name_Hall '-C 2 2'
_cell_length_a 7.2122
_cell_length_b 10.2516
_cell_length_c 10.2875
_cell_angle_alpha 90.00
_cell_angle_beta 90.00
_cell_angle_gamma 90.00
loop_
_atom_site_label
_atom_site_fract_x
_atom_site_fract_y
_atom_site_fract_z
Si1 0.0000 0.0000 0.2415
Si2 0.0000 0.2520 0.0000
Ni1 0.0000 0.0000 0.0000
Ni2 0.0000 0.0000 0.5000
Ni3 0.0000 0.2454 0.2381
Ni4 0.0000 0.5000 0.0000
Ni5 0.0000 0.5000 0.5000
Ni6 0.2388 0.1221 0.3672
Ni7 0.2421 0.1275 0.1188
Sb1 0.0000 0.2536 0.5000
Sb2 0.0000 0.5000 0.2453
```

* crystal system: orthorhombic

Top of the stability list: model one, leading by 6 meV per atom.

Model one:
A plane-wave DFT calculation with GGA-PBE was carried out for an optimized crystal structure of SiNi2Sb.

CIF file:
```
data_SiNi2Sb
_symmetry_space_group_name_H-M 'R -3 m'
_symmetry_Int_Tables_number 166
_symmetry_space_group_name_Hall '-R 3 2"'
_cell_length_a 3.0859
_cell_length_b 3.0859
_cell_length_c 21.8978
_cell_angle_alpha 90.00
_cell_angle_beta 90.00
_cell_angle_gamma 120.00
loop_
_atom_site_label
_atom_site_fract_x
_atom_site_fract_y
_atom_site_fract_z
Si1 0.0000 0.0000 0.0000
Ni1 0.0000 0.0000 0.2597
Sb1 0.0000 0.0000 0.5000
```

* crystal system: trigonal

Model two:
A plane-wave DFT calculation with GGA-PBE was carried out for an optimized crystal structure of SiNi2Sb.

CIF file:
```
data_SiNi2Sb
_symmetry_space_group_name_H-M 'I m m m'
_symmetry_Int_Tables_number 71
_symmetry_space_group_name_Hall '-I 2 2'
_cell_length_a 3.8612
_cell_length_b 4.9110
_cell_length_c 6.3843
_cell_angle_alpha 90.00
_cell_angle_beta 90.00
_cell_angle_gamma 90.00
loop_
_atom_site_label
_atom_site_fract_x
_atom_site_fract_y
_atom_site_fract_z
Si1 0.0000 0.0000 0.0000
Ni1 0.0000 0.5000 0.2984
Sb1 0.0000 0.0000 0.5000
```

* crystal system: orthorhombic

Model three:
A plane-wave DFT calculation with GGA-PBE was carried out for an optimized crystal structure of SiNi2Sb.

CIF file:
```
data_SiNi2Sb
_symmetry_space_group_name_H-M 'F m -3 m'
_symmetry_Int_Tables_number 225
_symmetry_space_group_name_Hall '-F 4 2 3'
_cell_length_a 6.1471
_cell_length_b 6.1471
_cell_length_c 6.1471
_cell_angle_alpha 90.00
_cell_angle_beta 90.00
_cell_angle_gamma 90.00
loop_
_atom_site_label
_atom_site_fract_x
_atom_site_fract_y
_atom_site_fract_z
Si1 0.0000 0.0000 0.0000
Ni1 0.2500 0.2500 0.2500
Sb1 0.0000 0.0000 0.5000
```

* crystal system: cubic

Top of the stability list: model two, leading by 8 meV per atom.

Model one:
A plane-wave DFT calculation with GGA-PBE was carried out for an optimized crystal structure of SiNi2Sb.

CIF file:
```
data_SiNi2Sb
_symmetry_space_group_name_H-M 'I -4 m 2'
_symmetry_Int_Tables_number 119
_symmetry_space_group_name_Hall 'I -4 -2'
_cell_length_a 3.7367
_cell_length_b 3.7367
_cell_length_c 8.2815
_cell_angle_alpha 90.00
_cell_angle_beta 90.00
_cell_angle_gamma 90.00
loop_
_atom_site_label
_atom_site_fract_x
_atom_site_fract_y
_atom_site_fract_z
Si1 0.0000 0.0000 0.0000
Ni1 0.0000 0.0000 0.5000
Ni2 0.0000 0.5000 0.7500
Sb1 0.0000 0.5000 0.2500
```

* crystal system: tetragonal

Model two:
A plane-wave DFT calculation with GGA-PBE was carried out for an optimized crystal structure of SiNi2Sb.

CIF file:
```
data_SiNi2Sb
_symmetry_space_group_name_H-M 'P m m m'
_symmetry_Int_Tables_number 47
_symmetry_space_group_name_Hall '-P 2 2'
_cell_length_a 2.9290
_cell_length_b 2.9317
_cell_length_c 7.0356
_cell_angle_alpha 90.00
_cell_angle_beta 90.00
_cell_angle_gamma 90.00
loop_
_atom_site_label
_atom_site_fract_x
_atom_site_fract_y
_atom_site_fract_z
Si1 0.0000 0.0000 0.0000
Ni1 0.5000 0.5000 0.1751
Sb1 0.5000 0.0000 0.5000
```

* crystal system: orthorhombic

Top of the stability list: model two, leading by 265 meV per atom.

Model one:
A plane-wave DFT calculation with GGA-PBE was carried out for an optimized crystal structure of SiNi2Sb.

CIF file:
```
data_SiNi2Sb
_symmetry_space_group_name_H-M 'C 1 m 1'
_symmetry_Int_Tables_number 8
_symmetry_space_group_name_Hall 'C -2y'
_cell_length_a 7.7215
_cell_length_b 3.3497
_cell_length_c 4.9503
_cell_angle_alpha 90.00
_cell_angle_beta 98.60
_cell_angle_gamma 90.00
loop_
_atom_site_label
_atom_site_fract_x
_atom_site_fract_y
_atom_site_fract_z
Si1 0.0000 0.0000 0.0000
Ni1 0.0364 0.5000 0.7036
Ni2 0.2932 0.0000 0.0122
Sb1 0.2982 0.5000 0.4437
```

* crystal system: monoclinic

Model two:
A plane-wave DFT calculation with GGA-PBE was carried out for an optimized crystal structure of SiNi2Sb.

CIF file:
```
data_SiNi2Sb
_symmetry_space_group_name_H-M 'P 1 m 1'
_symmetry_Int_Tables_number 6
_symmetry_space_group_name_Hall 'P -2y'
_cell_length_a 3.4541
_cell_length_b 2.9942
_cell_length_c 6.2545
_cell_angle_alpha 90.00
_cell_angle_beta 105.90
_cell_angle_gamma 90.00
loop_
_atom_site_label
_atom_site_fract_x
_atom_site_fract_y
_atom_site_fract_z
Si1 0.0000 0.0000 0.0000
Ni1 0.3654 0.0000 0.7295
Ni2 0.5386 0.5000 0.0775
Sb1 0.7512 0.5000 0.4995
```

* crystal system: monoclinic

Top of the stability list: model two, leading by 101 meV per atom.

Model one:
A plane-wave DFT calculation with GGA-PBE was carried out for an optimized crystal structure of SiNi2Sb.

CIF file:
```
data_SiNi2Sb
_symmetry_space_group_name_H-M 'P 4 m m'
_symmetry_Int_Tables_number 99
_symmetry_space_group_name_Hall 'P 4 -2'
_cell_length_a 3.4269
_cell_length_b 3.4269
_cell_length_c 5.0075
_cell_angle_alpha 90.00
_cell_angle_beta 90.00
_cell_angle_gamma 90.00
loop_
_atom_site_label
_atom_site_fract_x
_atom_site_fract_y
_atom_site_fract_z
Si1 0.0000 0.0000 0.0000
Ni1 0.0000 0.0000 0.4615
Ni2 0.5000 0.5000 0.1421
Sb1 0.5000 0.5000 0.6482
```

* crystal system: tetragonal

Model two:
A plane-wave DFT calculation with GGA-PBE was carried out for an optimized crystal structure of SiNi2Sb.

CIF file:
```
data_SiNi2Sb
_symmetry_space_group_name_H-M 'P 4/m m m'
_symmetry_Int_Tables_number 123
_symmetry_space_group_name_Hall '-P 4 2'
_cell_length_a 4.1178
_cell_length_b 4.1178
_cell_length_c 3.4202
_cell_angle_alpha 90.00
_cell_angle_beta 90.00
_cell_angle_gamma 90.00
loop_
_atom_site_label
_atom_site_fract_x
_atom_site_fract_y
_atom_site_fract_z
Si1 0.0000 0.0000 0.0000
Ni1 0.0000 0.5000 0.5000
Sb1 0.5000 0.5000 0.0000
```

* crystal system: tetragonal

Top of the stability list: model one, leading by 160 meV per atom.

Model one:
A plane-wave DFT calculation with GGA-PBE was carried out for an optimized crystal structure of SiNi2Sb.

CIF file:
```
data_SiNi2Sb
_symmetry_space_group_name_H-M 'P 4/m m m'
_symmetry_Int_Tables_number 123
_symmetry_space_group_name_Hall '-P 4 2'
_cell_length_a 2.9543
_cell_length_b 2.9543
_cell_length_c 6.7526
_cell_angle_alpha 90.00
_cell_angle_beta 90.00
_cell_angle_gamma 90.00
loop_
_atom_site_label
_atom_site_fract_x
_atom_site_fract_y
_atom_site_fract_z
Si1 0.0000 0.0000 0.0000
Ni1 0.5000 0.5000 0.1840
Sb1 0.0000 0.0000 0.5000
```

* crystal system: tetragonal

Model two:
A plane-wave DFT calculation with GGA-PBE was carried out for an optimized crystal structure of SiNi2Sb.

CIF file:
```
data_SiNi2Sb
_symmetry_space_group_name_H-M 'C 1 2/m 1'
_symmetry_Int_Tables_number 12
_symmetry_space_group_name_Hall '-C 2y'
_cell_length_a 7.1738
_cell_length_b 3.0603
_cell_length_c 5.6766
_cell_angle_alpha 90.00
_cell_angle_beta 103.42
_cell_angle_gamma 90.00
loop_
_atom_site_label
_atom_site_fract_x
_atom_site_fract_y
_atom_site_fract_z
Si1 0.0000 0.0000 0.0000
Ni1 0.2366 0.5000 0.1805
Sb1 0.0000 0.5000 0.5000
```

* crystal system: monoclinic

Model three:
A plane-wave DFT calculation with GGA-PBE was carried out for an optimized crystal structure of SiNi2Sb.

CIF file:
```
data_SiNi2Sb
_symmetry_space_group_name_H-M 'I m m 2'
_symmetry_Int_Tables_number 44
_symmetry_space_group_name_Hall 'I 2 -2'
_cell_length_a 2.9017
_cell_length_b 3.5452
_cell_length_c 11.9359
_cell_angle_alpha 90.00
_cell_angle_beta 90.00
_cell_angle_gamma 90.00
loop_
_atom_site_label
_atom_site_fract_x
_atom_site_fract_y
_atom_site_fract_z
Si1 0.0000 0.0000 0.0000
Ni1 0.0000 0.0000 0.5525
Ni2 0.0000 0.5000 0.8708
Sb1 0.0000 0.5000 0.2485
```

* crystal system: orthorhombic

Top of the stability list: model three, leading by 26 meV per atom.

Model one:
A plane-wave DFT calculation with GGA-PBE was carried out for an optimized crystal structure of SiNi2Sb.

CIF file:
```
data_SiNi2Sb
_symmetry_space_group_name_H-M 'F -4 3 m'
_symmetry_Int_Tables_number 216
_symmetry_space_group_name_Hall 'F -4 2 3'
_cell_length_a 6.2159
_cell_length_b 6.2159
_cell_length_c 6.2159
_cell_angle_alpha 90.00
_cell_angle_beta 90.00
_cell_angle_gamma 90.00
loop_
_atom_site_label
_atom_site_fract_x
_atom_site_fract_y
_atom_site_fract_z
Si1 0.0000 0.0000 0.0000
Ni1 0.0000 0.0000 0.5000
Ni2 0.2500 0.2500 0.7500
Sb1 0.2500 0.2500 0.2500
```

* crystal system: cubic

Model two:
A plane-wave DFT calculation with GGA-PBE was carried out for an optimized crystal structure of SiNi2Sb.

CIF file:
```
data_SiNi2Sb
_symmetry_space_group_name_H-M 'I -4 2 d'
_symmetry_Int_Tables_number 122
_symmetry_space_group_name_Hall 'I -4 2bw'
_cell_length_a 4.1402
_cell_length_b 4.1402
_cell_length_c 15.2674
_cell_angle_alpha 90.00
_cell_angle_beta 90.00
_cell_angle_gamma 90.00
loop_
_atom_site_label
_atom_site_fract_x
_atom_site_fract_y
_atom_site_fract_z
Si1 0.0000 0.0000 0.0000
Ni1 0.1951 0.2500 0.1250
Sb1 0.0000 0.0000 0.5000
```

* crystal system: tetragonal

Top of the stability list: model two, leading by 371 meV per atom.

Model one:
A plane-wave DFT calculation with GGA-PBE was carried out for an optimized crystal structure of SiNiSb3.

CIF file:
```
data_SiNiSb3
_symmetry_space_group_name_H-M 'P m -3 m'
_symmetry_Int_Tables_number 221
_symmetry_space_group_name_Hall '-P 4 2 3'
_cell_length_a 4.9676
_cell_length_b 4.9676
_cell_length_c 4.9676
_cell_angle_alpha 90.00
_cell_angle_beta 90.00
_cell_angle_gamma 90.00
loop_
_atom_site_label
_atom_site_fract_x
_atom_site_fract_y
_atom_site_fract_z
Si1 0.0000 0.0000 0.0000
Ni1 0.5000 0.5000 0.5000
Sb1 0.0000 0.5000 0.5000
```

* crystal system: cubic

Model two:
A plane-wave DFT calculation with GGA-PBE was carried out for an optimized crystal structure of SiNiSb3.

CIF file:
```
data_SiNiSb3
_symmetry_space_group_name_H-M 'P m -3 m'
_symmetry_Int_Tables_number 221
_symmetry_space_group_name_Hall '-P 4 2 3'
_cell_length_a 5.1145
_cell_length_b 5.1145
_cell_length_c 5.1145
_cell_angle_alpha 90.00
_cell_angle_beta 90.00
_cell_angle_gamma 90.00
loop_
_atom_site_label
_atom_site_fract_x
_atom_site_fract_y
_atom_site_fract_z
Si1 0.0000 0.0000 0.0000
Ni1 0.5000 0.5000 0.5000
Sb1 0.0000 0.0000 0.5000
```

* crystal system: cubic

Top of the stability list: model one, leading by 463 meV per atom.